Entry 1:
A geometry-optimized Na2ZnHg6 structure, computed with PBE.

a b c (Å): 6.5967 6.5967 7.3482
angles (deg): 117.08 117.08 59.67
With the nearest neighbours (Å) after each atom.
Sites, in units of the cell vectors:
Na 0.2122 0.2122 0.1728  9 Hg 3.27-3.47
Na 0.7878 0.7878 0.8272  9 Hg 3.27-3.47
Zn 0.5000 0.5000 0.0000  6 Hg 2.74-2.76
Hg 0.2284 0.7443 0.2807  1 Zn 2.74
Hg 0.2356 0.2356 0.6472  1 Zn 2.76
Hg 0.2557 0.7716 0.7193  1 Zn 2.74
Hg 0.7443 0.2284 0.2807  1 Zn 2.74
Hg 0.7644 0.7644 0.3528  1 Zn 2.76
Hg 0.7716 0.2557 0.7193  1 Zn 2.74

Computed properties:
The calculation puts the formation energy at -0.11 eV per atom. Its density of states at the Fermi level is 0.32 states/eV per atom.



Entry 2:
A geometry-optimized Pa5Be structure, computed with PBE.

a b c (Å): 8.3469 8.3469 3.1953
angles (deg): 90.00 90.00 142.24
With the nearest neighbours (Å) after each atom.
Sites, in units of the cell vectors:
Pa 0.0000 0.0000 0.0000  6 Pa 3.11-3.20, 4 Be 3.14
Pa 0.1692 0.8308 0.5000  10 Pa 3.11-3.23
Pa 0.3471 0.6529 0.0000  2 Be 2.90, 8 Pa 3.15-3.23
Pa 0.6529 0.3471 0.0000  2 Be 2.90, 8 Pa 3.15-3.23
Pa 0.8308 0.1692 0.5000  10 Pa 3.11-3.23
Be 0.5000 0.5000 0.5000  8 Pa 2.90-3.14, 2 Be 3.20

Computed properties:
The calculation puts the formation energy at 0.13 eV per atom. Its density of states at the Fermi level is 1.84 states/eV per atom.



Entry 3:
A geometry-optimized Cd2Pd7Pt3 structure, computed with PBE.

a b c (Å): 4.6332 2.7791 15.4982
angles (deg): 90.00 92.73 90.00
With the nearest neighbours (Å) after each atom.
Sites, in units of the cell vectors:
Cd 0.2127 0.0000 0.2949  5 Pd 2.63-2.87, 2 Cd 2.78, 2 Pt 2.94
Cd 0.7873 0.0000 0.7051  5 Pd 2.63-2.87, 2 Cd 2.78, 2 Pt 2.94
Pd 0.1847 0.5000 0.1411  7 Pd 2.69-2.80, 2 Pt 2.70, 2 Cd 2.76
Pd 0.2442 0.0000 0.4645  4 Pd 2.56-2.78, 1 Cd 2.63
Pd 0.3073 0.0000 0.8129  6 Pd 2.78-2.80, 2 Cd 2.84-2.87
Pd 0.5000 0.5000 0.0000  4 Pd 2.69-2.78, 4 Pt 2.70
Pd 0.6927 0.0000 0.1871  6 Pd 2.78-2.80, 2 Cd 2.84-2.87
Pd 0.7558 0.0000 0.5355  4 Pd 2.56-2.78, 1 Cd 2.63
Pd 0.8153 0.5000 0.8589  7 Pd 2.69-2.80, 2 Pt 2.70, 2 Cd 2.76
Pt 0.0000 0.0000 0.0000  8 Pd 2.70, 2 Pt 2.78
Pt 0.2738 0.5000 0.6295  2 Pt 2.78, 6 Pd 2.91-3.08, 4 Cd 2.94-2.95
Pt 0.7262 0.5000 0.3705  2 Pt 2.78, 6 Pd 2.91-3.08, 4 Cd 2.94-2.95

Computed properties:
The energy above the most stable polymorph in this dataset comes out at 5 meV per atom. The calculation puts the formation energy at 0.00 eV per atom. Its density of states at the Fermi level is 1.44 states/eV per atom.



Entry 4:
A geometry-optimized ReRh2N2 structure, computed with PBE.

a b c (Å): 5.5069 5.5069 4.0211
angles (deg): 90.00 90.00 90.00
With the nearest neighbours (Å) after each atom.
Sites, in units of the cell vectors:
Re 0.0000 0.0000 0.0000  4 N 2.00
Re 0.5000 0.5000 0.0000  4 N 2.00
Rh 0.1838 0.3162 0.5000  2 N 2.01
Rh 0.3162 0.8162 0.5000  2 N 2.01
Rh 0.6838 0.1838 0.5000  2 N 2.01
Rh 0.8162 0.6838 0.5000  2 N 2.01
N 0.1911 0.3089 0.0000  2 Re 2.00, 2 Rh 2.01
N 0.3089 0.8089 0.0000  2 Re 2.00, 2 Rh 2.01
N 0.6911 0.1911 0.0000  2 Re 2.00, 2 Rh 2.01
N 0.8089 0.6911 0.0000  2 Re 2.00, 2 Rh 2.01

Computed properties:
Its density of states at the Fermi level is 0.74 states/eV per atom.



Entry 5:
A geometry-optimized GeSeSN2 structure, computed with PBE.

a b c (Å): 3.8139 3.8139 5.1813
angles (deg): 90.00 90.00 90.00
With the nearest neighbours (Å) after each atom.
Sites, in units of the cell vectors:
Ge 0.0000 0.0000 0.0000  4 S 2.70
Se 0.5000 0.5000 0.5000  4 N 1.91
S 0.5000 0.5000 0.0000  2 Se 2.59, 4 Ge 2.70
N 0.0000 0.5000 0.5000  2 Se 1.91
N 0.5000 0.0000 0.5000  2 Se 1.91

Computed properties:
The energy above the most stable polymorph in this dataset comes out at 229 meV per atom. Its density of states at the Fermi level is 0.39 states/eV per atom.



Entry 6:
A geometry-optimized PmEuSiPd structure, computed with PBE.

a b c (Å): 5.1300 5.1300 5.1300
angles (deg): 60.00 60.00 60.00
With the nearest neighbours (Å) after each atom.
Sites, in units of the cell vectors:
Pm 0.0000 0.0000 0.0000  4 Si 3.14, 4 Pd 3.14
Eu 0.5000 0.5000 0.5000  4 Si 3.14, 4 Pd 3.14
Si 0.7500 0.7500 0.7500  4 Pm 3.14, 4 Eu 3.14
Pd 0.2500 0.2500 0.2500  4 Eu 3.14, 4 Pm 3.14

Computed properties:
Its density of states at the Fermi level is 2.83 states/eV per atom.



Entry 7:
A geometry-optimized Li12Zn3Rh structure, computed with PBE.

a b c (Å): 4.5488 4.5488 12.2292
angles (deg): 90.00 90.00 90.00
With the nearest neighbours (Å) after each atom.
Sites, in units of the cell vectors:
Li 0.0000 0.0000 0.0000  10 Li 2.65-2.95
Li 0.0000 0.0000 0.2409  9 Li 2.77-2.95
Li 0.0000 0.0000 0.5000  8 Li 2.78
Li 0.0000 0.0000 0.7591  9 Li 2.77-2.95
Li 0.0000 0.5000 0.1113  5 Li 2.65-2.77, 2 Rh 2.65, 2 Zn 2.66
Li 0.0000 0.5000 0.3697  4 Li 2.77-2.78, 4 Zn 2.78-2.89
Li 0.0000 0.5000 0.6303  4 Li 2.77-2.78, 4 Zn 2.78-2.89
Li 0.0000 0.5000 0.8887  5 Li 2.65-2.77, 2 Rh 2.65, 2 Zn 2.66
Li 0.5000 0.0000 0.1113  5 Li 2.65-2.77, 2 Rh 2.65, 2 Zn 2.66
Li 0.5000 0.0000 0.3697  4 Li 2.77-2.78, 4 Zn 2.78-2.89
Li 0.5000 0.0000 0.6303  4 Li 2.77-2.78, 4 Zn 2.78-2.89
Li 0.5000 0.0000 0.8887  5 Li 2.65-2.77, 2 Rh 2.65, 2 Zn 2.66
Zn 0.5000 0.5000 0.2239  8 Li 2.66-2.89, 1 Rh 2.74
Zn 0.5000 0.5000 0.5000  8 Li 2.78
Zn 0.5000 0.5000 0.7761  8 Li 2.66-2.89, 1 Rh 2.74
Rh 0.5000 0.5000 0.0000  8 Li 2.65, 2 Zn 2.74

Computed properties:
The calculation puts the formation energy at -0.08 eV per atom. Its density of states at the Fermi level is 0.48 states/eV per atom.



Entry 8:
A geometry-optimized NaGeIO2 structure, computed with PBE.

a b c (Å): 3.8950 3.8950 6.0467
angles (deg): 90.00 90.00 90.00
With the nearest neighbours (Å) after each atom.
Sites, in units of the cell vectors:
Na 0.0000 0.0000 0.0000  4 I 2.75
Ge 0.5000 0.5000 0.5000  4 O 1.95
I 0.5000 0.5000 0.0000  4 Na 2.75, 2 Ge 3.02
O 0.0000 0.5000 0.5000  2 Ge 1.95
O 0.5000 0.0000 0.5000  2 Ge 1.95

Computed properties:
The energy above the most stable polymorph in this dataset comes out at 0 meV per atom. Its density of states at the Fermi level is 0.37 states/eV per atom.



Entry 9:
A geometry-optimized CaTlSiTeSeF structure, computed with PBE.

a b c (Å): 6.3188 6.3188 8.3161
angles (deg): 114.21 114.21 37.57
With the nearest neighbours (Å) after each atom.
Sites, in units of the cell vectors:
Ca 0.0000 0.0000 0.0000  1 F 2.11
Tl 0.7583 0.7583 0.4463  2 F 2.72
Si 0.6912 0.6912 0.7881  1 Se 2.33
Te 0.2862 0.2862 0.0336  2 Si 2.75
Se 0.4844 0.4844 0.7400  1 Si 2.33
F 0.0985 0.0985 0.2812  1 Ca 2.11

Computed properties:
The energy above the most stable polymorph in this dataset comes out at 97 meV per atom.



Entry 10:
A geometry-optimized La2BPd6Au structure, computed with PBE.

a b c (Å): 5.7028 5.7061 7.4408
angles (deg): 69.68 69.59 61.19
With the nearest neighbours (Å) after each atom.
Sites, in units of the cell vectors:
La 0.2467 0.2470 0.3183  6 Pd 2.98-3.13, 1 Au 3.28
La 0.7533 0.7530 0.6817  6 Pd 2.98-3.13, 1 Au 3.28
B 0.0000 0.0000 0.0000  6 Pd 2.07-2.11
Pd 0.2000 0.6826 0.8461  1 B 2.11
Pd 0.2150 0.2144 0.7835  1 B 2.07
Pd 0.3151 0.8008 0.1554  1 B 2.10
Pd 0.6849 0.1992 0.8446  1 B 2.10
Pd 0.7850 0.7856 0.2165  1 B 2.07
Pd 0.8000 0.3174 0.1539  1 B 2.11
Au 0.5000 0.5000 0.5000  6 Pd 2.74-2.78

Computed properties:
The calculation puts the formation energy at -0.67 eV per atom. Its density of states at the Fermi level is 0.41 states/eV per atom.



Entry 11:
A geometry-optimized RbMgI2O structure, computed with PBE.

a b c (Å): 6.5501 6.5501 4.4375
angles (deg): 90.00 90.00 90.00
With the nearest neighbours (Å) after each atom.
Sites, in units of the cell vectors:
Rb 0.0000 0.0000 0.0000  2 O 2.22
Mg 0.5000 0.5000 0.5000  8 I 3.96
I 0.0000 0.5000 0.0000  2 Rb 3.28
I 0.5000 0.0000 0.0000  2 Rb 3.28
O 0.0000 0.0000 0.5000  2 Rb 2.22

Computed properties:
The energy above the most stable polymorph in this dataset comes out at 1263 meV per atom. Its density of states at the Fermi level is 0.97 states/eV per atom.



Entry 12:
A geometry-optimized CaTcCl2 structure, computed with PBE.

a b c (Å): 3.7242 3.7242 6.2502
angles (deg): 90.00 90.00 90.00
With the nearest neighbours (Å) after each atom.
Sites, in units of the cell vectors:
Ca 0.0000 0.0000 0.0000  5 Cl 2.76-2.99
Tc 0.5000 0.5000 0.7121  5 Cl 2.63-2.89
Cl 0.0000 0.0000 0.5223  4 Tc 2.89, 1 Ca 2.99
Cl 0.5000 0.5000 0.1329  1 Tc 2.63, 4 Ca 2.76

Computed properties:
The energy above the most stable polymorph in this dataset comes out at 114 meV per atom. Its density of states at the Fermi level is 0.15 states/eV per atom.



Entry 13:
A geometry-optimized TaCrIn structure, computed with PBE.

a b c (Å): 5.3308 5.3308 5.3308
angles (deg): 144.12 144.12 51.65
With the nearest neighbours (Å) after each atom.
Sites, in units of the cell vectors:
Ta 0.0000 0.0000 0.0000  4 Cr 2.60, 1 In 2.90
Cr 0.3792 0.3792 0.0000  4 Ta 2.60, 4 In 2.90
In 0.6981 0.6981 0.0000  5 Ta 2.90-3.00, 5 Cr 2.90-3.06

Computed properties:
The energy above the most stable polymorph in this dataset comes out at 0 meV per atom. The calculation puts the formation energy at 0.21 eV per atom. Its density of states at the Fermi level is 0.71 states/eV per atom.



Entry 14:
A geometry-optimized MgVSeN2 structure, computed with PBE.

a b c (Å): 3.7594 3.7594 5.2958
angles (deg): 90.00 90.00 90.00
With the nearest neighbours (Å) after each atom.
Sites, in units of the cell vectors:
Mg 0.0000 0.0000 0.0000  4 Se 2.66
V 0.5000 0.5000 0.5000  4 N 1.88
Se 0.5000 0.5000 0.0000  2 V 2.65, 4 Mg 2.66
N 0.0000 0.5000 0.5000  2 V 1.88
N 0.5000 0.0000 0.5000  2 V 1.88

Computed properties:
The energy above the most stable polymorph in this dataset comes out at 0 meV per atom. Its density of states at the Fermi level is 0.38 states/eV per atom.



Entry 15:
A geometry-optimized LiZr2HRh structure, computed with PBE.

a b c (Å): 4.5177 4.5177 3.5722
angles (deg): 90.00 90.00 90.00
With the nearest neighbours (Å) after each atom.
Sites, in units of the cell vectors:
Li 0.0000 0.0000 0.0000  2 H 1.79
Zr 0.0000 0.5000 0.5000  2 H 2.26
Zr 0.5000 0.0000 0.5000  2 H 2.26
H 0.0000 0.0000 0.5000  2 Li 1.79
Rh 0.5000 0.5000 0.0000  8 Zr 2.88, 4 Li 3.19

Computed properties:
The energy above the most stable polymorph in this dataset comes out at 0 meV per atom. Its density of states at the Fermi level is 0.62 states/eV per atom.



Entry 16:
A geometry-optimized ReSnTePb2 structure, computed with PBE.

a b c (Å): 5.8755 5.8755 5.1403
angles (deg): 90.00 90.00 90.00
With the nearest neighbours (Å) after each atom.
Sites, in units of the cell vectors:
Re 0.0000 0.0000 0.0000  2 Sn 2.57
Sn 0.0000 0.0000 0.5000  2 Re 2.57
Te 0.5000 0.5000 0.0000  8 Pb 3.90, 4 Re 4.15
Pb 0.0000 0.5000 0.5000  2 Sn 2.94
Pb 0.5000 0.0000 0.5000  2 Sn 2.94

Computed properties:
The energy above the most stable polymorph in this dataset comes out at 0 meV per atom. Its density of states at the Fermi level is 1.08 states/eV per atom.



Entry 17:
A geometry-optimized ZnOsBr2 structure, computed with PBE.

a b c (Å): 4.8688 4.8688 7.6547
angles (deg): 108.44 108.44 39.05
With the nearest neighbours (Å) after each atom.
Sites, in units of the cell vectors:
Zn 0.0000 0.0000 0.0000  3 Os 2.52-2.64
Os 0.2662 0.2662 0.9726  3 Zn 2.52-2.64, 4 Br 2.53-2.60
Br 0.6777 0.6777 0.7045  2 Os 2.53
Br 0.8277 0.8277 0.2532  2 Os 2.60, 1 Zn 2.88

Computed properties:
The energy above the most stable polymorph in this dataset comes out at 161 meV per atom. Its density of states at the Fermi level is 0.80 states/eV per atom.



Entry 18:
A geometry-optimized LiAc2GaPd6 structure, computed with PBE.

a b c (Å): 6.7047 6.7047 8.3894
angles (deg): 128.32 128.32 49.58
With the nearest neighbours (Å) after each atom.
Sites, in units of the cell vectors:
Li 0.0000 0.0000 0.0000  6 Pd 2.54-2.58
Ac 0.2533 0.2533 0.7887  7 Pd 3.15-3.24
Ac 0.7467 0.7467 0.2113  7 Pd 3.15-3.24
Ga 0.5000 0.5000 0.5000  6 Pd 2.51-2.58
Pd 0.2428 0.7514 0.2509  1 Ga 2.51, 1 Li 2.54, 3 Pd 2.75-2.78
Pd 0.2490 0.2490 0.4047  1 Ga 2.58, 1 Li 2.58, 4 Pd 2.75-2.78
Pd 0.2486 0.7572 0.7491  1 Ga 2.51, 1 Li 2.54, 3 Pd 2.75-2.78
Pd 0.7514 0.2428 0.2509  1 Ga 2.51, 1 Li 2.54, 3 Pd 2.75-2.78
Pd 0.7510 0.7510 0.5953  1 Ga 2.58, 1 Li 2.58, 4 Pd 2.75-2.78
Pd 0.7572 0.2486 0.7491  1 Ga 2.51, 1 Li 2.54, 3 Pd 2.75-2.78

Computed properties:
The calculation puts the formation energy at -0.68 eV per atom. Its density of states at the Fermi level is 0.26 states/eV per atom.



Entry 19:
A geometry-optimized La6TbDy5 structure, computed with PBE.

a b c (Å): 9.6720 9.6720 9.6720
angles (deg): 148.61 117.71 71.42
With the nearest neighbours (Å) after each atom.
Sites, in units of the cell vectors:
La 0.0831 0.3333 0.7498  7 Dy 3.62, 1 Tb 3.62, 4 La 3.70
La 0.2500 0.0000 0.2500  6 Dy 3.62, 2 Tb 3.62, 4 La 3.70
La 0.4166 0.6667 0.7498  7 Dy 3.62, 1 Tb 3.62, 4 La 3.70
La 0.5834 0.3333 0.2502  7 Dy 3.62, 1 Tb 3.62, 4 La 3.70
La 0.7500 0.0000 0.7500  6 Dy 3.62, 2 Tb 3.62, 4 La 3.70
La 0.9169 0.6667 0.2502  7 Dy 3.62, 1 Tb 3.62, 4 La 3.70
Tb 0.5000 0.5000 0.0000  8 La 3.62, 4 Dy 3.70
Dy 0.0000 0.5000 0.5000  8 La 3.62, 4 Dy 3.70
Dy 0.1666 0.1666 0.0000  8 La 3.62, 4 Dy 3.70
Dy 0.3331 0.8331 0.5000  8 La 3.62, 2 Dy 3.70, 2 Tb 3.70
Dy 0.6669 0.1669 0.5000  8 La 3.62, 2 Dy 3.70, 2 Tb 3.70
Dy 0.8334 0.8334 0.0000  8 La 3.62, 4 Dy 3.70

Computed properties:
The calculation puts the formation energy at 0.02 eV per atom. Its density of states at the Fermi level is 1.50 states/eV per atom.



Entry 20:
A geometry-optimized Li2FeS2 structure, computed with PBE.

a b c (Å): 6.3865 6.3865 3.5898
angles (deg): 90.00 90.00 90.00
With the nearest neighbours (Å) after each atom.
Sites, in units of the cell vectors:
Li 0.1410 0.3590 0.0000  2 S 2.43, 1 Li 2.55
Li 0.3590 0.8590 0.0000  2 S 2.43, 1 Li 2.55
Li 0.6410 0.1410 0.0000  2 S 2.43, 1 Li 2.55
Li 0.8590 0.6410 0.0000  2 S 2.43, 1 Li 2.55
Fe 0.0000 0.0000 0.5000  4 S 2.35
Fe 0.5000 0.5000 0.5000  4 S 2.35
S 0.1780 0.6780 0.5000  2 Fe 2.35, 2 Li 2.43
S 0.3220 0.1780 0.5000  2 Fe 2.35, 2 Li 2.43
S 0.6780 0.8220 0.5000  2 Fe 2.35, 2 Li 2.43
S 0.8220 0.3220 0.5000  2 Fe 2.35, 2 Li 2.43

Computed properties:
The energy above the most stable polymorph in this dataset comes out at 192 meV per atom. Its density of states at the Fermi level is 0.75 states/eV per atom.



For each record above, in turn, the calculated V values are 235 136 199 122 75 95 253 92 182 194 190 87 52 75 73 177 108 210 411 146 Å³ per cell.
For each record above, in turn, the calculated raw total energy values are -0.742 -8.400 -4.688 -8.550 -4.332 -6.983 -2.218 -4.237 -4.215 -5.764 -2.003 -4.448 -7.859 -6.308 -6.327 -4.155 -3.617 -5.115 -4.745 -4.800 eV/atom.